No. 1
{
  "formula": "HfPIrO",
  "functional": "GGA-PBE",
  "state": "relaxed",
  "crystal_system": "orthorhombic",
  "de_polymorph_ev_per_fu": 1.28,
  "energy_ev_per_atom": -8.521,
  "cell": [[3.2549, 0.0000, 0.0000], [0.0000, 6.6508, 0.0000], [0.0000, 0.0000, 6.5230]],
  "species": ["Hf", "Hf", "P", "P", "Ir", "Ir", "O", "O"],
  "frac_coords": [[0.0000, 0.0968, 0.0000], [0.0000, 0.9032, 0.5000], [0.0000, 0.2820, 0.3624], [0.0000, 0.7180, 0.8624], [0.5000, 0.2282, 0.6084], [0.5000, 0.7718, 0.1084], [0.5000, 0.2622, 0.9280], [0.5000, 0.7378, 0.4280]]
}

=====

No. 2
{
  "formula": "HfPIrO",
  "functional": "GGA-PBE",
  "state": "relaxed",
  "crystal_system": "tetragonal",
  "de_polymorph_ev_per_fu": 0.00,
  "energy_ev_per_atom": -8.842,
  "cell": [[3.8253, 0.0000, 0.0000], [0.0000, 3.8253, 0.0000], [0.0000, 0.0000, 7.4230]],
  "species": ["Hf", "Hf", "P", "P", "Ir", "Ir", "O", "O"],
  "frac_coords": [[0.2500, 0.2500, 0.1533], [0.7500, 0.7500, 0.8467], [0.2500, 0.2500, 0.6910], [0.7500, 0.7500, 0.3090], [0.2500, 0.7500, 0.5000], [0.7500, 0.2500, 0.5000], [0.2500, 0.7500, 0.0000], [0.7500, 0.2500, 0.0000]]
}

=====

No. 3
{
  "formula": "HfIrOs2",
  "functional": "GGA-PBE",
  "state": "relaxed",
  "crystal_system": "cubic",
  "ef_mev_per_atom": 139,
  "energy_ev_per_atom": -10.176,
  "cell": [[0.0000, 3.1743, 3.1743], [3.1743, 0.0000, 3.1743], [3.1743, 3.1743, 0.0000]],
  "species": ["Hf", "Ir", "Os", "Os"],
  "frac_coords": [[0.0000, 0.0000, 0.0000], [0.2500, 0.2500, 0.2500], [0.5000, 0.5000, 0.5000], [0.7500, 0.7500, 0.7500]]
}

=====

What is the formula in the first record? HfPIrO